# 1
This record from the Alexandria database describes a relaxed KTe3 crystal. The functional is PBE.

Cell and atoms, written as POSCAR:
```
KTe3
1.0
6.591 0.002 0.005
-3.011 5.863 0.005
-3.011 -4.933 3.169
Te K
3 1
direct
0.500 0.000 0.500 Te
0.000 0.500 0.500 Te
0.500 0.500 0.000 Te
0.000 0.000 0.000 K
```

* Fermi-level density of states: 2.6 states/eV/cell
* raw formation energy: -0.1729 eV/atom
* energy relative to the lowest polymorph listed for this composition: 209 meV per atom
* M_tot: 0.000 μB per atom

# 2
This record from the Alexandria database describes a relaxed KTe crystal. The functional is PBE.

Cell and atoms, written as POSCAR:
```
KTe
1.0
5.788 0.027 0.017
4.380 3.783 0.017
4.380 1.641 3.409
Te K
1 1
direct
0.500 0.500 0.500 Te
0.000 0.000 0.000 K
```

* Fermi-level density of states: 1.4 states/eV/cell
* raw formation energy: -0.5421 eV/atom
* M_tot: 0.000 μB per atom

# 3
This record from the Alexandria database describes a relaxed KTe2 crystal. The functional is PBE.

Cell and atoms, written as POSCAR:
```
KTe2
1.0
2.234 6.262 -0.852
-2.234 6.262 -0.852
0.000 -0.349 8.504
Te K
4 2
direct
0.806 0.806 0.611 Te
0.592 0.592 0.130 Te
0.194 0.194 0.389 Te
0.408 0.408 0.870 Te
0.113 0.113 0.781 K
0.887 0.887 0.219 K
```

* Fermi-level density of states: 2.2 states/eV/cell
* raw formation energy: -0.5610 eV/atom
* energy relative to the lowest polymorph listed for this composition: 0 meV per atom
* M_tot: 0.000 μB per atom

# 4
This record from the Alexandria database describes a relaxed KTe3 crystal. The functional is PBE.

Cell and atoms, written as POSCAR:
```
KTe3
1.0
5.881 0.621 2.039
2.033 7.161 1.180
0.553 0.430 7.507
Te K
6 2
direct
0.234 0.804 0.418 Te
0.766 0.196 0.582 Te
0.216 0.038 0.039 Te
0.766 0.582 0.196 Te
0.784 0.962 0.961 Te
0.234 0.418 0.804 Te
0.341 0.311 0.311 K
0.659 0.689 0.689 K
```

* Fermi-level density of states: 3.3 states/eV/cell
* raw formation energy: -0.3823 eV/atom
* energy relative to the lowest polymorph listed for this composition: 0 meV per atom
* M_tot: 0.000 μB per atom

# 5
This record from the Alexandria database describes a relaxed KTe2 crystal. The functional is PBE.

Cell and atoms, written as POSCAR:
```
KTe2
1.0
-5.850 2.294 -2.060
1.030 -7.311 -0.455
-1.168 2.474 6.071
Te K
4 2
direct
0.870 0.741 0.980 Te
0.130 0.259 0.020 Te
0.629 0.258 0.740 Te
0.371 0.742 0.260 Te
0.749 0.497 0.340 K
0.251 0.503 0.660 K
```

* Fermi-level density of states: 1.8 states/eV/cell
* raw formation energy: -0.4758 eV/atom
* energy relative to the lowest polymorph listed for this composition: 85 meV per atom
* M_tot: 0.000 μB per atom

# 6
This record from the Alexandria database describes a relaxed KTe2 crystal. The functional is PBE.

Cell and atoms, written as POSCAR:
```
KTe2
1.0
-5.066 -3.309 -2.881
1.081 -3.622 -5.534
-0.220 -6.692 0.279
Te K
4 2
direct
0.625 0.625 0.125 Te
0.125 0.625 0.625 Te
0.625 0.625 0.625 Te
0.625 0.125 0.625 Te
0.000 0.000 0.000 K
0.250 0.250 0.250 K
```

* Fermi-level density of states: 6.6 states/eV/cell
* raw formation energy: -0.4134 eV/atom
* energy relative to the lowest polymorph listed for this composition: 148 meV per atom
* M_tot: 0.000 μB per atom

# 7
This record from the Alexandria database describes a relaxed K3ThTe4 crystal. The functional is PBE.

Cell and atoms, written as POSCAR:
```
K3ThTe4
1.0
-2.326 -3.011 -2.699
7.237 -4.567 -1.141
-4.001 -3.156 6.969
Te K Th
4 3 1
direct
0.000 0.212 0.212 Te
0.000 0.788 0.788 Te
0.500 0.777 0.223 Te
0.500 0.223 0.777 Te
0.000 0.000 0.500 K
0.500 0.500 0.500 K
0.000 0.500 0.000 K
0.500 0.000 0.000 Th
```

* Fermi-level density of states: 11.1 states/eV/cell
* raw formation energy: -1.0380 eV/atom
* energy relative to the lowest polymorph listed for this composition: 24 meV per atom
* M_tot: 0.053 μB per atom

# 8
This record from the Alexandria database describes a relaxed K4Th3Te8 crystal. The functional is PBE.

Cell and atoms, written as POSCAR:
```
K4Th3Te8
1.0
-3.524 -8.554 1.393
4.637 -7.526 -3.064
4.670 -5.868 7.197
Th Te K
3 8 4
direct
0.000 0.000 0.500 Th
0.000 0.500 0.500 Th
0.500 0.000 0.500 Th
0.795 0.252 0.700 Te
0.252 0.252 0.700 Te
0.231 0.231 0.308 Te
0.252 0.795 0.700 Te
0.748 0.748 0.300 Te
0.205 0.748 0.300 Te
0.769 0.769 0.692 Te
0.748 0.205 0.300 Te
0.000 0.000 0.000 K
0.500 0.500 0.500 K
0.359 0.359 0.924 K
0.641 0.641 0.076 K
```

* Fermi-level density of states: 0.0 states/eV/cell
* raw formation energy: -1.1840 eV/atom
* M_tot: 0.000 μB per atom

# 9
This record from the Alexandria database describes a relaxed KTh2Te4 crystal. The functional is PBE.

Cell and atoms, written as POSCAR:
```
KTh2Te4
1.0
8.004 1.406 -3.070
-3.374 7.397 -3.071
-0.448 -0.853 9.565
Th Te K
4 8 2
direct
0.125 0.375 0.750 Th
0.625 0.375 0.750 Th
0.625 0.875 0.250 Th
0.625 0.375 0.250 Th
0.925 0.189 0.335 Te
0.439 0.676 0.835 Te
0.840 0.604 0.165 Te
0.324 0.561 0.165 Te
0.854 0.590 0.665 Te
0.396 0.160 0.835 Te
0.811 0.075 0.665 Te
0.409 0.146 0.335 Te
0.250 0.750 0.500 K
0.000 0.000 0.000 K
```

* Fermi-level density of states: 3.2 states/eV/cell
* raw formation energy: -1.1141 eV/atom
* energy relative to the lowest polymorph listed for this composition: 69 meV per atom
* M_tot: 0.000 μB per atom

# 10
This record from the Alexandria database describes a relaxed KTh3Te6 crystal. The functional is PBE.

Cell and atoms, written as POSCAR:
```
KTh3Te6
1.0
-0.411 -4.166 -1.673
12.432 1.195 -6.031
1.808 -5.158 12.399
Te Th K
12 6 2
direct
0.250 0.814 0.439 Te
0.750 0.186 0.561 Te
0.750 0.951 0.256 Te
0.250 0.643 0.112 Te
0.250 0.049 0.744 Te
0.750 0.530 0.347 Te
0.750 0.138 0.051 Te
0.750 0.357 0.888 Te
0.250 0.470 0.653 Te
0.250 0.862 0.949 Te
0.250 0.260 0.322 Te
0.750 0.740 0.678 Te
0.750 0.373 0.478 Th
0.250 0.627 0.522 Th
0.750 0.726 0.275 Th
0.250 0.274 0.725 Th
0.750 0.955 0.842 Th
0.250 0.045 0.158 Th
0.750 0.621 0.891 K
0.250 0.379 0.109 K
```

* Fermi-level density of states: 4.0 states/eV/cell
* raw formation energy: -1.1466 eV/atom
* M_tot: 0.078 μB per atom

# 11
This record from the Alexandria database describes a relaxed KTh2Te4 crystal. The functional is PBE.

Cell and atoms, written as POSCAR:
```
KTh2Te4
1.0
-2.424 1.905 3.352
6.014 -3.679 3.346
8.658 13.086 -1.175
Te Th K
8 4 2
direct
0.231 0.461 0.613 Te
0.769 0.539 0.113 Te
0.500 0.000 0.000 Te
0.069 0.139 0.250 Te
0.769 0.539 0.387 Te
0.231 0.461 0.887 Te
0.931 0.861 0.750 Te
0.500 0.000 0.500 Te
0.870 0.740 0.936 Th
0.870 0.740 0.564 Th
0.130 0.260 0.436 Th
0.130 0.260 0.064 Th
0.390 0.780 0.250 K
0.610 0.220 0.750 K
```

* Fermi-level density of states: 3.1 states/eV/cell
* raw formation energy: -1.1829 eV/atom
* energy relative to the lowest polymorph listed for this composition: 0 meV per atom
* M_tot: 0.000 μB per atom

# 12
This record from the Alexandria database describes a relaxed KTh6Te12 crystal. The functional is PBE.

Cell and atoms, written as POSCAR:
```
KTh6Te12
1.0
-7.742 -1.836 -4.962
2.811 -8.036 3.930
-2.402 5.846 6.927
Te Th K
12 6 1
direct
0.118 0.500 0.882 Te
0.118 0.882 0.500 Te
0.404 0.404 0.141 Te
0.500 0.882 0.118 Te
0.141 0.404 0.404 Te
0.859 0.596 0.596 Te
0.596 0.859 0.596 Te
0.882 0.500 0.118 Te
0.882 0.118 0.500 Te
0.500 0.118 0.882 Te
0.404 0.141 0.404 Te
0.596 0.596 0.859 Te
0.718 0.279 0.279 Th
0.279 0.718 0.279 Th
0.721 0.282 0.721 Th
0.282 0.721 0.721 Th
0.721 0.721 0.282 Th
0.279 0.279 0.718 Th
0.000 0.000 0.000 K
```

* Fermi-level density of states: 7.2 states/eV/cell
* raw formation energy: -1.0469 eV/atom
* M_tot: 0.000 μB per atom

- M_tot of number 5 (KTe2)?
  0.000 μB per atom

- M_tot of number 1 (KTe3)?
  0.000 μB per atom

- Which of these has the highest M_tot?
  KTh3Te6

- The highest Fermi-level density of states belongs to which entry?
  K3ThTe4